(1)
Hf2HOs, relaxed, DFT GGA-PBE; V = 15.51 A^3/atom; size of the total moment = 0.0 Bohr magnetons per cell; space-group type = I-42d, No. 122; distance to the lowest polymorph of the same formula = 249 meV/atom
1.0
6.186 0.000 0.000
0.000 6.186 0.000
3.093 3.093 3.243
Hf Os H
4 2 2
direct
0.551 0.125 0.250
0.199 0.625 0.250
0.375 0.449 0.750
0.875 0.801 0.750
0.000 0.000 0.000
0.750 0.250 0.500
0.500 0.500 0.000
0.250 0.750 0.500

=====

(2)
Hf6HOs2, relaxed, DFT GGA-PBE; V = 18.64 A^3/atom; uncorrected energy = -0.7176 Ry per atom; size of the total moment = 0.0 Bohr magnetons per cell; space-group type = P2_1/c, No. 14
1.0
-3.602 -4.600 -0.605
4.358 -3.755 2.600
-3.073 2.151 8.257
Hf H Os
12 2 4
direct
0.845 0.974 0.248
0.861 0.686 0.554
0.857 0.711 0.949
0.643 0.211 0.551
0.639 0.186 0.946
0.655 0.474 0.252
0.155 0.026 0.752
0.139 0.314 0.446
0.143 0.289 0.051
0.357 0.789 0.449
0.361 0.814 0.054
0.345 0.526 0.748
0.500 0.500 0.000
0.000 0.000 0.500
0.916 0.387 0.765
0.584 0.887 0.735
0.416 0.113 0.265
0.084 0.613 0.235

=====

(3)
Hf2H2Os, relaxed, DFT GGA-PBE; V = 12.73 A^3/atom; size of the total moment = 0.0 Bohr magnetons per cell; space-group type = P4/mmm, No. 123; distance to the lowest polymorph of the same formula = 163 meV/atom
1.0
3.152 0.000 0.000
0.000 3.152 0.000
0.000 0.000 6.407
Hf H Os
2 2 1
direct
0.500 0.500 0.741
0.500 0.500 0.259
0.500 0.000 0.500
0.000 0.500 0.500
0.000 0.000 0.000

=====

(4)
HfHOs, relaxed, DFT GGA-PBE; V = 14.08 A^3/atom; uncorrected energy = -0.6133 Ry per atom; size of the total moment = 0.0 Bohr magnetons per cell; space-group type = P2_1/c, No. 14
1.0
5.116 0.000 0.000
0.000 5.012 -1.067
0.000 -1.156 6.837
Hf Os H
4 4 4
direct
0.499 0.656 0.311
0.999 0.844 0.689
0.501 0.344 0.689
0.001 0.156 0.311
0.326 0.829 0.000
0.826 0.671 0.000
0.674 0.171 0.000
0.174 0.329 0.000
0.750 0.510 0.500
0.250 0.990 0.500
0.250 0.490 0.500
0.750 0.010 0.500

=====

(5)
Hf2HOs, relaxed, DFT GGA-PBE; V = 16.05 A^3/atom; size of the total moment = 0.0 Bohr magnetons per cell; space-group type = Fm-3m, No. 225; distance to the lowest polymorph of the same formula = 408 meV/atom
1.0
0.000 3.178 3.178
3.178 0.000 3.178
3.178 3.178 0.000
Hf Os H
2 1 1
direct
0.250 0.250 0.250
0.750 0.750 0.750
0.500 0.500 0.500
0.000 0.000 0.000

=====

(6)
HfHOs3, relaxed, DFT GGA-PBE; V = 22.96 A^3/atom; size of the total moment = 4.0 Bohr magnetons per cell; space-group type = Pm-3m, No. 221; distance to the lowest polymorph of the same formula = 3125 meV/atom
1.0
-3.910 0.890 -2.746
-2.824 -2.138 3.328
-0.599 4.273 2.237
Hf Os H
1 3 1
direct
0.000 0.000 0.000
0.000 0.500 0.000
0.000 0.000 0.500
0.500 0.000 0.000
0.500 0.500 0.500